This record from the Alexandria database describes an optimized crystal structure of Rb2UPO6. The functional is PBE.

Geometry as CIF:
```
data_Rb2UPO6
_space_group_name_H-M_alt 'I 4/m m m'
_space_group_IT_number 139
_space_group_name_Hall '-I 4 2'
_cell_length_a 5.6026
_cell_length_b 5.6026
_cell_length_c 10.3832
_cell_angle_alpha 90.00
_cell_angle_beta 90.00
_cell_angle_gamma 90.00
loop_
_atom_site_label
_atom_site_fract_x
_atom_site_fract_y
_atom_site_fract_z
_atom_site_occupancy
Rb1 0.0000 0.5000 0.2500 1
U1 0.0000 0.0000 0.0000 1
P1 0.0000 0.0000 0.5000 1
O1 0.0000 0.0000 0.1852 1
O2 0.2052 0.2052 0.5000 1
```

## Properties
Fermi-level density of states   0.381 states/eV/atom
Formation energy from raw total energies   -2220 meV/atom
Size of the total moment   0.10 μB/atom